1.
The following is a DFT calculation (PBE) of an optimized crystal structure of ScTlMo2.

The calculation puts the energy above the lowest structure with this stoichiometry at 530 meV/atom. As for the crystal system: trigonal. The formation energy comes out at 594 meV per atom. The value obtained for the total energy is -28.0 eV/f.u.

The space group is R-3m (No. 166, hexagonal axes) and the conventional cell measures 3.0208, 3.0208 and 29.1198 Å, with angles of 90.00, 90.00 and 120.00 degrees. The inequivalent atoms are Sc at (0.0000, 0.0000, 0.0000), Tl at (0.0000, 0.0000, 0.5000) and Mo at (0.0000, 0.0000, 0.2509).



2.
The following is a DFT calculation (PBE) of an optimized crystal structure of K2NpTlF8.

The value obtained for the formation energy (no corrections) is -35.31 eV/f.u. As for the crystal system: tetragonal. The value obtained for the total energy is -67.8 eV/f.u.

The space group is I-4m2 (No. 119) and the conventional cell measures 6.033, 6.033 and 12.137 Å, with angles of 90.00, 90.00 and 90.00 degrees. The inequivalent atoms are K at (0.000, 0.000, 0.000), K at (0.000, 0.500, 0.250), Np at (0.000, 0.500, 0.750), Tl at (0.000, 0.000, 0.500) and F at (0.210, 0.286, 0.855).



3.
The following is a DFT calculation (PBE) of an optimized crystal structure of YAs2Ru2.

As for the crystal system: tetragonal. The formation energy comes out at -264 meV per atom. The value obtained for the total energy is -35.6 eV/f.u.

The space group is P4/mbm (No. 127) and the conventional cell measures 7.497, 7.497 and 3.046 Å, with angles of 90.00, 90.00 and 90.00 degrees. The inequivalent atoms are Y at (0.000, 0.000, 0.000), As at (0.147, 0.353, 0.000) and Ru at (0.136, 0.636, 0.500).



4.
The following is a DFT calculation (PBE) of an optimized crystal structure of PuGaSnCl6.

The value obtained for the formation energy (no corrections) is -11.92 eV/f.u. As for the crystal system: tetragonal. The value obtained for the total energy is -44.4 eV/f.u.

The space group is P4_2nm (No. 102) and the conventional cell measures 6.715, 6.715 and 13.016 Å, with angles of 90.00, 90.00 and 90.00 degrees. The inequivalent atoms are Pu at (0.000, 0.000, 0.000), Ga at (0.000, 0.000, 0.668), Sn at (0.000, 0.000, 0.334), Cl at (0.183, 0.183, 0.164), Cl at (0.196, 0.196, 0.845) and Cl at (0.214, 0.214, 0.494).



5.
The following is a DFT calculation (PBE) of an optimized crystal structure of Te4MoIr.

The calculation puts the energy above the lowest structure with this stoichiometry at 1784 meV/atom. The value obtained for the formation energy (no corrections) is 9.44 eV/f.u. As for the crystal system: cubic. The value obtained for the total energy is -22.8 eV/f.u.

The space group is F-43m (No. 216) and the conventional cell measures 8.574, 8.574 and 8.574 Å, with angles of 90.00, 90.00 and 90.00 degrees. The inequivalent atoms are Te at (0.124, 0.124, 0.124), Mo at (0.000, 0.000, 0.500) and Ir at (0.250, 0.250, 0.750).



6.
The following is a DFT calculation (PBE) of an optimized crystal structure of DyErMgSc.

The calculation puts the energy above the lowest structure with this stoichiometry at 35 meV/atom. As for the crystal system: cubic. The formation energy comes out at 30 meV per atom. The value obtained for the total energy is -17.0 eV/f.u.

The space group is F-43m (No. 216) and the conventional cell measures 7.577, 7.577 and 7.577 Å, with angles of 90.00, 90.00 and 90.00 degrees. The inequivalent atoms are Dy at (0.000, 0.000, 0.000), Er at (0.000, 0.000, 0.500), Mg at (0.250, 0.250, 0.750) and Sc at (0.250, 0.250, 0.250).



7.
The following is a DFT calculation (PBE) of an optimized crystal structure of Al2CuCl.

The calculation puts the energy above the lowest structure with this stoichiometry at 213 meV/atom. The value obtained for the formation energy (no corrections) is -0.05 eV/f.u. As for the crystal system: monoclinic. The value obtained for the total energy is -13.5 eV/f.u.

The space group is C2/m (No. 12) and the conventional cell measures 7.608, 6.838 and 2.902 Å, with angles of 90.00, 111.10 and 90.00 degrees. The inequivalent atoms are Al at (0.250, 0.250, 0.000), Cu at (0.000, 0.000, 0.500) and Cl at (0.000, 0.500, 0.500).



8.
The following is a DFT calculation (PBE) of an optimized crystal structure of RbSrTa2.

The calculation puts the energy above the lowest structure with this stoichiometry at 0 meV/atom. As for the crystal system: tetragonal. The formation energy comes out at 1783 meV per atom. The value obtained for the total energy is -19.2 eV/f.u.

The space group is I-42d (No. 122) and the conventional cell measures 4.604, 4.604 and 24.644 Å, with angles of 90.00, 90.00 and 90.00 degrees. The inequivalent atoms are Rb at (0.000, 0.000, 0.000), Sr at (0.000, 0.000, 0.500) and Ta at (0.125, 0.250, 0.625).